VASP calculation (PBE+U) on a relaxed structure of FeCo2RhO6.

The structure in POSCAR format:
```
FeCo2RhO6
1.0
2.509 1.449 4.483
-2.509 1.449 4.483
0.000 -2.897 4.483
Fe Co Rh O
1 2 1 6
direct
0.000 0.000 0.000
0.195 0.195 0.195
0.705 0.705 0.705
0.506 0.506 0.506
0.104 0.393 0.806
0.285 0.921 0.592
0.393 0.806 0.104
0.592 0.285 0.921
0.806 0.104 0.393
0.921 0.592 0.285
```

Values from the calculation:
- calculated total energy (eV/f.u.) = -61.2